# LiBe2Au2

A geometry-optimized LiBe2Au2 structure (PBE-GGA, Alexandria).

a b c (Å): 3.3499 3.3499 6.6251
angles (deg): 75.36 75.36 90.00
Fractional coordinates of all 5 atoms:
Au (0.6139, 0.6139, 0.7721)
Au (0.3861, 0.3861, 0.2279)
Be (0.2500, 0.7500, 0.5000)
Be (0.7500, 0.2500, 0.5000)
Li (0.0000, 0.0000, 0.0000)

Calculated density = 10.02 Mg/m³
Energy of formation = -0.2466 eV/atom
Energy = -3.431 eV per atom
Relative energy among the computed polymorphs = 63.4 meV per atom
N(E_F) = 0.21 states/eV/atom


# Rb2NaTiS

A geometry-optimized Rb2NaTiS structure (PBE-GGA, Alexandria).

a b c (Å): 6.5688 5.2574 6.5688
angles (deg): 90.00 90.00 90.00
Fractional coordinates of all 5 atoms:
S (0.0000, 0.0000, 0.0000)
Na (0.0000, 0.5000, 0.0000)
Rb (0.5000, 0.0000, 0.0000)
Rb (0.0000, 0.0000, 0.5000)
Ti (0.5000, 0.5000, 0.5000)

Formation energy from raw total energies = 8.79 kcal/mol of atoms
Calculated density = 2.00 Mg/m³
Energy = -2.674 eV per atom
Relative energy among the computed polymorphs = 377.3 meV per atom
N(E_F) = 7.24 states/eV/atom


Please write out number 1 again, unchanged.
# LiBe2Au2

A geometry-optimized LiBe2Au2 structure (PBE-GGA, Alexandria).

a b c (Å): 3.3499 3.3499 6.6251
angles (deg): 75.36 75.36 90.00
Fractional coordinates of all 5 atoms:
Au (0.6139, 0.6139, 0.7721)
Au (0.3861, 0.3861, 0.2279)
Be (0.2500, 0.7500, 0.5000)
Be (0.7500, 0.2500, 0.5000)
Li (0.0000, 0.0000, 0.0000)

Calculated density = 10.02 Mg/m³
Energy of formation = -0.2466 eV/atom
Energy = -3.431 eV per atom
Relative energy among the computed polymorphs = 63.4 meV per atom
N(E_F) = 0.21 states/eV/atom